## 1
Here is a geometry-optimized Zr4AlCo structure from the Alexandria database. Energies are from PBE.

## Properties
Space group: F-43m
Calculated density: 6.0 g/cm³
Spin magnetization: 1.10 μB/f.u.

```
6
Lattice="-1.0069 -1.2100 5.3947 -0.5373 4.1450 3.7564 -5.0288 1.1266 2.2411" Properties=species:S:1:pos:R:3 pbc="T T T"
Al -4.9298 3.0462 8.5441
Zr -2.7324 3.5988 6.1512
Zr -4.9827 2.0865 5.3920
Zr -2.4632 1.5221 4.2692
Zr -2.9677 0.9159 6.9719
Co 0.0000 0.0000 0.0000
```

---

## 2
Here is a geometry-optimized Zr4AlCo structure from the Alexandria database. Energies are from PBE.

## Properties
Space group: I422
Calculated density: 6.4 g/cm³
Spin magnetization: 0.00 μB/f.u.

```
6
Lattice="5.2526 -0.2380 -1.3397 -3.2193 4.1572 -1.3397 0.1235 0.2380 5.4194" Properties=species:S:1:pos:R:3 pbc="T T T"
Zr 3.5591 1.6789 2.6678
Zr -2.3872 3.8766 1.3700
Zr 0.3080 2.4783 1.3700
Zr 2.8337 0.2807 0.0721
Co 1.0166 1.9596 -1.3397
Al 0.0000 0.0000 0.0000
```

---

It is 2 that is most stable; the runner-up trails by 0.738 eV/atom.